Entry from Alexandria: crystalline Y2SnSb2 at its relaxed geometry (PBE).

```
data_Y2SnSb2
_cell_length_a 8.343
_cell_length_b 8.343
_cell_length_c 4.093
_cell_angle_alpha 90.00
_cell_angle_beta 90.00
_cell_angle_gamma 90.00
_symmetry_space_group_name_H-M 'P 4/m b m'
_symmetry_Int_Tables_number 127
_symmetry_space_group_name_Hall '-P 4 2ab'
loop_
_atom_site_label
_atom_site_type_symbol
_atom_site_fract_x
_atom_site_fract_y
_atom_site_fract_z
_atom_site_occupancy
Y1 Y 0.153 0.347 0.000 1
Sn1 Sn 0.000 0.000 0.500 1
Sb1 Sb 0.149 0.649 0.500 1
```

Output
As for the uncorrected formation energy: -0.72 eV/atom. The distance to the lowest polymorph of the same formula is 0.0 kJ/mol of atoms.

---

Entry from Alexandria: crystalline MgMoPb2 at its relaxed geometry (PBE).

```
data_MgMoPb2
_cell_length_a 8.049
_cell_length_b 8.049
_cell_length_c 6.248
_cell_angle_alpha 90.00
_cell_angle_beta 90.00
_cell_angle_gamma 90.00
_symmetry_space_group_name_H-M 'I -4 2 d'
_symmetry_Int_Tables_number 122
_symmetry_space_group_name_Hall 'I -4 2bw'
loop_
_atom_site_label
_atom_site_type_symbol
_atom_site_fract_x
_atom_site_fract_y
_atom_site_fract_z
_atom_site_occupancy
Mg1 Mg 0.000 0.000 0.000 1
Mo1 Mo 0.000 0.000 0.500 1
Pb1 Pb 0.233 0.750 0.625 1
```

Output
The calculation puts the formation energy at 0.771 eV/atom.

---

Entry from Alexandria: crystalline Tl2SbCl at its relaxed geometry (PBE).

```
data_Tl2SbCl
_cell_length_a 3.450
_cell_length_b 5.248
_cell_length_c 13.511
_cell_angle_alpha 90.00
_cell_angle_beta 90.00
_cell_angle_gamma 90.00
_symmetry_space_group_name_H-M 'I m m m'
_symmetry_Int_Tables_number 71
_symmetry_space_group_name_Hall '-I 2 2'
loop_
_atom_site_label
_atom_site_type_symbol
_atom_site_fract_x
_atom_site_fract_y
_atom_site_fract_z
_atom_site_occupancy
Tl1 Tl 0.000 0.000 0.203 1
Sb1 Sb 0.000 0.500 0.500 1
Cl1 Cl 0.000 0.500 0.000 1
```

Output
As for the uncorrected formation energy: -0.11 eV/atom. The distance to the lowest polymorph of the same formula is 23.2 kJ/mol of atoms.

---

Entry from Alexandria: crystalline Er3HgO at its relaxed geometry (PBE).

```
data_Er3HgO
_cell_length_a 4.710
_cell_length_b 4.710
_cell_length_c 4.710
_cell_angle_alpha 90.00
_cell_angle_beta 90.00
_cell_angle_gamma 90.00
_symmetry_space_group_name_H-M 'P m -3 m'
_symmetry_Int_Tables_number 221
_symmetry_space_group_name_Hall '-P 4 2 3'
loop_
_atom_site_label
_atom_site_type_symbol
_atom_site_fract_x
_atom_site_fract_y
_atom_site_fract_z
_atom_site_occupancy
Er1 Er 0.000 0.000 0.500 1
Hg1 Hg 0.500 0.500 0.500 1
O1 O 0.000 0.000 0.000 1
```

Output
As for the uncorrected formation energy: -1.39 eV/atom.

---

Entry from Alexandria: crystalline AlHOsF2 at its relaxed geometry (PBE).

```
data_AlHOsF2
_cell_length_a 3.973
_cell_length_b 3.973
_cell_length_c 5.040
_cell_angle_alpha 90.00
_cell_angle_beta 90.00
_cell_angle_gamma 90.00
_symmetry_space_group_name_H-M 'P 4/m m m'
_symmetry_Int_Tables_number 123
_symmetry_space_group_name_Hall '-P 4 2'
loop_
_atom_site_label
_atom_site_type_symbol
_atom_site_fract_x
_atom_site_fract_y
_atom_site_fract_z
_atom_site_occupancy
Al1 Al 0.000 0.000 0.000 1
H1 H 0.500 0.500 0.000 1
Os1 Os 0.000 0.000 0.500 1
F1 F 0.000 0.500 0.500 1
```

---

| no. | total energy (eV/atom) |
| --- | --- |
| 1 | -5.752 |
| 2 | -4.189 |
| 3 | -2.788 |
| 4 | -5.182 |
| 5 | -4.463 |